<A>
SnBSeN2 | PBE | relaxed

Structure (extended XYZ):
```
5
Lattice="-1.6700 2.0519 2.4959 -3.1175 -1.7615 -0.6379 1.1348 -3.2512 3.4321" Properties=species:S:1:pos:R:3 pbc="T T T"
B 0.0000 0.0000 0.0000
Sn -1.8264 -1.4804 2.6451
Se 0.5674 -1.6256 1.7161
N -1.5588 -0.8807 -0.3189
N -0.8350 1.0259 1.2479
```

## Properties
The space group is P4/mmm, No. 123.

<B>
SnBSeN2 | PBE | relaxed

Structure (extended XYZ):
```
5
Lattice="-0.9055 3.3362 2.1122 -3.8409 -1.2469 0.3229 1.3040 -2.7482 4.8997" Properties=species:S:1:pos:R:3 pbc="T T T"
B -1.7212 -0.3294 3.6674
Sn 0.0000 0.0000 0.0000
Se 0.6520 -1.3741 2.4498
N -1.9205 -0.6234 0.1614
N -0.4527 1.6681 1.0561
```

## Properties
The space group is P4/mmm, No. 123.

Most stable of them? <A>.